Entry 1:
An optimized crystal structure of CsKAgAu. Source: Alexandria via LeMat-Bulk, functional PBE.

## Properties
Formation energy from the elements in eV/atom: -0.082
Size of the total moment in μB/cell: 0.000
Total energy in eV/cell: -8.41
SG: No. 216

POSCAR file:
```
CsKAgAu
1.0
-0.033 3.028 -5.198
-5.122 2.398 -2.052
-0.738 5.971 0.001
Cs K Au Ag
1 1 1 1
Direct
0.000 0.000 0.000 Cs
0.500 0.500 0.500 K
0.750 0.750 0.750 Au
0.250 0.250 0.250 Ag
```

---

Entry 2:
An optimized crystal structure of Ti3SiW. Source: Alexandria via LeMat-Bulk, functional PBE.

## Properties
Energy above the most stable polymorph in this dataset in meV per atom: 344
Uncorrected formation energy in eV/f.u.: 5.04
Size of the total moment in μB/cell: 1.758
Total energy in eV/cell: -37.02
SG: No. 221

POSCAR file:
```
Ti3SiW
1.0
4.731 0.000 0.000
0.000 4.731 0.000
0.000 0.000 4.731
Si W Ti
1 1 3
Direct
0.500 0.500 0.500 Si
0.000 0.000 0.000 W
0.000 0.500 0.000 Ti
0.000 0.000 0.500 Ti
0.500 0.000 0.000 Ti
```

---

Entry 3:
An optimized crystal structure of TaVRh. Source: Alexandria via LeMat-Bulk, functional PBE.

## Properties
Energy above the most stable polymorph in this dataset in meV per atom: 250
Formation energy from the elements in eV/atom: -0.070
Size of the total moment in μB/cell: 0.001
Total energy in eV/cell: -57.07
SG: No. 129

POSCAR file:
```
TaVRh
1.0
3.339 0.000 0.000
0.000 3.339 0.000
0.000 0.000 8.538
Ta Rh V
2 2 2
Direct
0.500 0.000 0.895 Ta
0.000 0.500 0.105 Ta
0.500 0.000 0.248 Rh
0.000 0.500 0.752 Rh
0.500 0.500 0.500 V
0.000 0.000 0.500 V
```

---

Entry 4:
An optimized crystal structure of As3Ru. Source: Alexandria via LeMat-Bulk, functional PBE.

## Properties
Energy above the most stable polymorph in this dataset in meV per atom: 309
Formation energy from the elements in eV/atom: 0.284
Size of the total moment in μB/cell: 0.000
Total energy in eV/cell: -44.17
SG: No. 194

POSCAR file:
```
As3Ru
1.0
3.227 -5.590 0.000
3.227 5.590 0.000
0.000 0.000 4.170
As Ru
6 2
Direct
0.805 0.611 0.250 As
0.389 0.195 0.250 As
0.805 0.195 0.250 As
0.195 0.389 0.750 As
0.611 0.805 0.750 As
0.195 0.805 0.750 As
0.333 0.667 0.250 Ru
0.667 0.333 0.750 Ru
```